[1]
{"formula": "Na2ScAsSe4", "functional": "PBE-GGA", "state": "optimized geometry", "lattice_angstrom": [[-4.0320, 4.0420, 5.7166], [4.0320, -4.0420, 5.7166], [4.0320, 4.0420, -5.7166]], "species": ["Na", "Na", "Na", "Na", "Sc", "Sc", "As", "As", "Se", "Se", "Se", "Se", "Se", "Se", "Se", "Se"], "fractional_positions": [[0.0000, 0.0000, 0.0000], [0.5000, 0.0000, 0.0000], [0.5000, 0.0000, 0.5000], [0.5000, 0.5000, 0.5000], [0.0000, 0.0000, 0.5000], [0.0000, 0.5000, 0.0000], [0.0000, 0.5000, 0.5000], [0.5000, 0.5000, 0.0000], [0.2198, 0.7389, 0.4809], [0.2396, 0.2594, 0.5199], [0.2396, 0.7197, 0.9801], [0.2421, 0.2611, 0.9809], [0.7579, 0.7389, 0.0191], [0.7604, 0.2803, 0.0199], [0.7604, 0.7406, 0.4801], [0.7802, 0.2611, 0.5191]], "magnetic_moment_mub_per_cell": 0.00, "spacegroup": "Imma (74)", "mass_density_g_cm3": 4.293, "dft_energy_ev_per_atom": -4.48}

---

[2]
{"formula": "TbZr2C", "functional": "PBE-GGA", "state": "optimized geometry", "lattice_angstrom": [[1.6724, 0.9656, 8.9399], [-1.6724, 0.9656, 8.9399], [0.0000, -1.9311, 8.9399]], "species": ["Tb", "Zr", "Zr", "C"], "fractional_positions": [[0.0000, 0.0000, 0.0000], [0.1205, 0.1205, 0.1205], [0.8795, 0.8795, 0.8795], [0.5000, 0.5000, 0.5000]], "magnetic_moment_mub_per_cell": 0.00, "spacegroup": "R-3m (166)", "formation_enthalpy_0k_ev_per_atom": -0.2728, "dos_ef_per_ev_cell": 4.9, "mass_density_g_cm3": 6.775, "dft_energy_ev_per_atom": -8.01}

---

[3]
{"formula": "Sc2GaSn", "functional": "PBE-GGA", "state": "optimized geometry", "lattice_angstrom": [[3.6175, 0.0000, 0.0000], [0.0000, 3.6175, 0.0000], [0.0000, 0.0000, 6.4642]], "species": ["Sc", "Sc", "Ga", "Sn"], "fractional_positions": [[0.0000, 0.0000, 0.2384], [0.0000, 0.0000, 0.7616], [0.5000, 0.5000, 0.0000], [0.5000, 0.5000, 0.5000]], "magnetic_moment_mub_per_cell": 0.00, "spacegroup": "P4/mmm (123)", "formation_enthalpy_0k_ev_per_atom": -0.5016, "dos_ef_per_ev_cell": 3.8, "mass_density_g_cm3": 5.464, "dft_energy_ev_per_atom": -5.42}

---

[4]
{"formula": "SiMoSeBr2", "functional": "PBE-GGA", "state": "optimized geometry", "lattice_angstrom": [[5.1930, 0.0000, 0.0000], [0.0000, 5.1930, 0.0000], [0.0000, 0.0000, 4.9532]], "species": ["Si", "Mo", "Se", "Br", "Br"], "fractional_positions": [[0.0000, 0.0000, 0.0000], [0.5000, 0.5000, 0.5000], [0.5000, 0.5000, 0.0000], [0.0000, 0.5000, 0.5000], [0.5000, 0.0000, 0.5000]], "magnetic_moment_mub_per_cell": 3.23, "spacegroup": "P4/mmm (123)", "dos_ef_per_ev_cell": 2.5, "mass_density_g_cm3": 4.510, "dft_energy_ev_per_atom": -4.08}

---

[5]
{"formula": "LiCu2SnS4", "functional": "PBE-GGA", "state": "optimized geometry", "lattice_angstrom": [[-2.7329, 2.7329, 5.4668], [2.7329, -2.7329, 5.4668], [2.7329, 2.7329, -5.4668]], "species": ["Li", "Cu", "Cu", "Sn", "S", "S", "S", "S"], "fractional_positions": [[0.0000, 0.0000, 0.0000], [0.2500, 0.7500, 0.5000], [0.7500, 0.2500, 0.5000], [0.5000, 0.5000, 0.0000], [0.1121, 0.6175, 0.0000], [0.3825, 0.3825, 0.4946], [0.6175, 0.1121, 0.0000], [0.8879, 0.8879, 0.5054]], "magnetic_moment_mub_per_cell": 0.00, "spacegroup": "I-42m (121)", "dos_ef_per_ev_cell": 7.5, "mass_density_g_cm3": 3.874, "dft_energy_ev_per_atom": -4.34}

---

[6]
{"formula": "LiCaPm2", "functional": "PBE-GGA", "state": "optimized geometry", "lattice_angstrom": [[1.7529, 1.0121, 12.3878], [-1.7529, 1.0121, 12.3878], [0.0000, -2.0241, 12.3878]], "species": ["Li", "Ca", "Pm", "Pm"], "fractional_positions": [[0.0000, 0.0000, 0.0000], [0.5000, 0.5000, 0.5000], [0.4066, 0.4066, 0.4066], [0.5934, 0.5934, 0.5934]], "magnetic_moment_mub_per_cell": 0.00, "spacegroup": "R-3m (166)", "formation_enthalpy_0k_ev_per_atom": 0.2293, "dos_ef_per_ev_cell": 3.8, "mass_density_g_cm3": 4.244, "dft_energy_ev_per_atom": -3.12}

---

[7]
{"formula": "Sc3BeCu", "functional": "PBE-GGA", "state": "optimized geometry", "lattice_angstrom": [[4.8936, 0.0000, 0.0000], [0.0000, 4.8936, 0.0000], [0.0000, 0.0000, 4.8936]], "species": ["Sc", "Sc", "Sc", "Be", "Cu"], "fractional_positions": [[0.0000, 0.0000, 0.5000], [0.0000, 0.5000, 0.0000], [0.5000, 0.0000, 0.0000], [0.5000, 0.5000, 0.5000], [0.0000, 0.0000, 0.0000]], "magnetic_moment_mub_per_cell": 2.12, "spacegroup": "Pm-3m (221)", "formation_enthalpy_0k_ev_per_atom": 0.5462, "dos_ef_per_ev_cell": 8.4, "mass_density_g_cm3": 2.939, "dft_energy_ev_per_atom": -4.82}

---

[8]
{"formula": "CuTe", "functional": "PBE-GGA", "state": "optimized geometry", "lattice_angstrom": [[5.2774, 0.0000, 0.0000], [0.0000, 5.2774, 0.0000], [0.0000, 0.0000, 5.2774]], "species": ["Cu", "Cu", "Cu", "Te", "Te", "Te"], "fractional_positions": [[0.0000, 0.0000, 0.5000], [0.0000, 0.5000, 0.0000], [0.5000, 0.0000, 0.0000], [0.0000, 0.5000, 0.5000], [0.5000, 0.0000, 0.5000], [0.5000, 0.5000, 0.0000]], "magnetic_moment_mub_per_cell": 0.00, "spacegroup": "Pm-3m (221)", "dos_ef_per_ev_cell": 5.2, "mass_density_g_cm3": 6.478, "dft_energy_ev_per_atom": -3.34}

---

[9]
{"formula": "YPb3C", "functional": "PBE-GGA", "state": "optimized geometry", "lattice_angstrom": [[5.0723, 0.0000, 0.0000], [0.0000, 5.0723, 0.0000], [0.0000, 0.0000, 5.0723]], "species": ["Y", "Pb", "Pb", "Pb", "C"], "fractional_positions": [[0.0000, 0.0000, 0.0000], [0.0000, 0.5000, 0.5000], [0.5000, 0.0000, 0.5000], [0.5000, 0.5000, 0.0000], [0.5000, 0.5000, 0.5000]], "magnetic_moment_mub_per_cell": 0.00, "spacegroup": "Pm-3m (221)", "formation_enthalpy_0k_ev_per_atom": 0.7613, "dos_ef_per_ev_cell": 4.8, "mass_density_g_cm3": 9.193, "dft_energy_ev_per_atom": -4.60}

---

[10]
{"formula": "CrSi2Ru", "functional": "PBE-GGA", "state": "optimized geometry", "lattice_angstrom": [[1.3841, 0.7991, 7.7377], [-1.3841, 0.7991, 7.7377], [0.0000, -1.5982, 7.7377]], "species": ["Cr", "Si", "Si", "Ru"], "fractional_positions": [[0.0000, 0.0000, 0.0000], [0.2507, 0.2507, 0.2507], [0.7493, 0.7493, 0.7493], [0.5000, 0.5000, 0.5000]], "magnetic_moment_mub_per_cell": 0.77, "spacegroup": "R-3m (166)", "dos_ef_per_ev_cell": 3.1, "mass_density_g_cm3": 6.766, "dft_energy_ev_per_atom": -7.61}

---

[11]
{"formula": "CaMnP2", "functional": "PBE-GGA", "state": "optimized geometry", "lattice_angstrom": [[1.8613, 1.0746, 6.0315], [-1.8613, 1.0746, 6.0315], [0.0000, -2.1492, 6.0315]], "species": ["Ca", "Mn", "P", "P"], "fractional_positions": [[0.0000, 0.0000, 0.0000], [0.5000, 0.5000, 0.5000], [0.2292, 0.2292, 0.2292], [0.7708, 0.7708, 0.7708]], "magnetic_moment_mub_per_cell": 2.81, "spacegroup": "R-3m (166)", "formation_enthalpy_0k_ev_per_atom": -0.6568, "dos_ef_per_ev_cell": 1.4, "mass_density_g_cm3": 3.601, "dft_energy_ev_per_atom": -6.15}

---

[12]
{"formula": "DyY3Ag4", "functional": "PBE-GGA", "state": "optimized geometry", "lattice_angstrom": [[3.6419, 0.0000, 0.0000], [0.0000, 3.6419, 0.0000], [0.0000, 0.0000, 14.5812]], "species": ["Dy", "Y", "Y", "Y", "Ag", "Ag", "Ag", "Ag"], "fractional_positions": [[0.0000, 0.0000, 0.0000], [0.0000, 0.0000, 0.2496], [0.0000, 0.0000, 0.5000], [0.0000, 0.0000, 0.7504], [0.5000, 0.5000, 0.1236], [0.5000, 0.5000, 0.3752], [0.5000, 0.5000, 0.6248], [0.5000, 0.5000, 0.8764]], "magnetic_moment_mub_per_cell": 0.00, "spacegroup": "P4/mmm (123)", "formation_enthalpy_0k_ev_per_atom": -0.3268, "dos_ef_per_ev_cell": 6.0, "mass_density_g_cm3": 7.390, "dft_energy_ev_per_atom": -4.75}